[1]
Entry from Alexandria via LeMat-Bulk: a relaxed SrFe3B crystal (PBE).

Properties
space-group type: No. 221
relative energy among the computed polymorphs: 0 meV per atom
energy of formation: 0.413 eV per atom
D(E_F): 4.91 states/eV/cell
ρ: 6326 kg/m3
total energy: -6.336 eV per atom

Unit cell a=4.118 b=4.118 c=4.118 alpha=90.00 beta=90.00 gamma=90.00
Element x y z (fractional)
Fe: 0.000 0.500 0.000
B: 0.000 0.000 0.000
Fe: 0.000 0.000 0.500
Fe: 0.500 0.000 0.000
Sr: 0.500 0.500 0.500


[2]
Entry from Alexandria via LeMat-Bulk: a relaxed SrTaFe2B crystal (PBE).

Properties
space-group type: No. 123
energy of formation: 2.786 eV per atom
D(E_F): 7.60 states/eV/cell
ρ: 7676 kg/m3
total energy: -4.641 eV per atom

Unit cell a=4.344 b=4.483 c=4.344 alpha=90.00 beta=90.00 gamma=90.00
Element x y z (fractional)
Ta: 0.500 0.500 0.500
B: 0.000 0.500 0.000
Fe: 0.000 0.000 0.500
Sr: 0.000 0.000 0.000
Fe: 0.500 0.000 0.000


[3]
Entry from Alexandria via LeMat-Bulk: a relaxed SrZn2FeB crystal (PBE).

Properties
space-group type: No. 123
energy of formation: 0.130 eV per atom
D(E_F): 3.15 states/eV/cell
ρ: 5418 kg/m3
total energy: -3.744 eV per atom

Unit cell a=4.670 b=4.006 c=4.670 alpha=90.00 beta=90.00 gamma=90.00
Element x y z (fractional)
Fe: 0.000 0.000 0.000
Sr: 0.500 0.500 0.500
Zn: 0.500 0.000 0.000
Zn: 0.000 0.000 0.500
B: 0.000 0.500 0.000


[4]
Entry from Alexandria via LeMat-Bulk: a relaxed TaFe2B crystal (PBE).

Properties
space-group type: No. 63
energy of formation: -0.285 eV per atom
D(E_F): 11.52 states/eV/cell
ρ: 11171 kg/m3
total energy: -9.148 eV per atom

Unit cell a=3.145 b=7.352 c=7.990 alpha=90.00 beta=90.00 gamma=102.35
Element x y z (fractional)
Ta: 0.678 0.356 0.250
Fe: 0.113 0.225 0.750
B: 0.136 0.271 0.032
Ta: 0.500 0.000 0.500
Fe: 0.704 0.407 0.585
Fe: 0.704 0.407 0.915
Fe: 0.956 0.912 0.750
Ta: 0.322 0.644 0.750
Ta: 0.500 0.000 0.000
Fe: 0.296 0.593 0.085
Fe: 0.296 0.593 0.415
B: 0.136 0.271 0.468
Fe: 0.887 0.775 0.250
B: 0.864 0.729 0.532
B: 0.864 0.729 0.968
Fe: 0.044 0.088 0.250


[5]
Entry from Alexandria via LeMat-Bulk: a relaxed TaFeB crystal (PBE).

Properties
space-group type: No. 189
energy of formation: -0.623 eV per atom
D(E_F): 4.21 states/eV/cell
ρ: 12491 kg/m3
total energy: -9.621 eV per atom

Unit cell a=5.969 b=5.969 c=3.200 alpha=90.00 beta=90.00 gamma=120.00
Element x y z (fractional)
Ta: 0.000 0.411 0.500
Fe: 0.000 0.761 0.000
B: 0.667 0.333 0.000
Fe: 0.239 0.239 0.000
B: 0.000 0.000 0.500
Ta: 0.589 0.589 0.500
Fe: 0.761 0.000 0.000
B: 0.333 0.667 0.000
Ta: 0.411 0.000 0.500


[6]
Entry from Alexandria via LeMat-Bulk: a relaxed TaFe3B crystal (PBE).

Properties
space-group type: No. 221
relative energy among the computed polymorphs: 2534 meV per atom
energy of formation: 2.336 eV per atom
D(E_F): 5.35 states/eV/cell
ρ: 6512 kg/m3
total energy: -6.447 eV per atom

Unit cell a=4.508 b=4.508 c=4.508 alpha=90.00 beta=90.00 gamma=90.00
Element x y z (fractional)
Fe: 0.000 0.500 0.000
B: 0.500 0.500 0.500
Fe: 0.000 0.000 0.500
Ta: 0.000 0.000 0.000
Fe: 0.500 0.000 0.000